VASP calculation (PBE) on a relaxed Pr4AlSI2 crystal.

## Properties
ΔE_f (raw)	-1.058	eV per atom
energy	-38.6	eV for the cell shown
size of the total moment	0.00	μB per cell
N(E_F)	4.85	states/eV/f.u.

POSCAR file:
```
Pr4AlSI2
1.0
7.3959 0.0000 0.0000
0.0000 4.2957 0.0000
-2.5517 0.0000 7.8831
Pr Al S I
4 1 1 2
Cartesian
1.1444 0.0000 1.5312
-0.1752 2.1478 6.2670
5.0194 2.1478 1.6160
3.6998 0.0000 6.3519
3.6979 0.0000 0.0000
0.0000 2.1478 0.0000
-1.2758 0.0000 3.9415
2.4221 2.1478 3.9415
```

***

VASP calculation (PBE) on a relaxed Pr8Al3SeI4 crystal.

## Properties
ΔE_f (raw)	-0.805	eV per atom
energy	-72.0	eV for the cell shown
size of the total moment	0.00	μB per cell
N(E_F)	11.03	states/eV/f.u.

POSCAR file:
```
Pr8Al3SeI4
1.0
7.6304 -4.3987 0.0000
7.6304 4.3987 0.0000
-5.0924 0.0000 7.7611
Pr Al Se I
8 3 1 4
Cartesian
-0.0126 0.0000 5.5099
3.8146 2.2063 5.5092
2.5430 0.0000 2.1936
6.3538 2.2063 2.2519
3.8146 -2.2063 5.5092
7.6255 0.0000 5.5675
6.3538 -2.2063 2.2519
10.1811 0.0000 2.2512
1.2690 2.1993 3.8806
1.2690 -2.1993 3.8806
5.0842 0.0000 3.8806
-2.5462 0.0000 3.8806
0.0000 0.0000 0.0000
3.8152 2.1993 0.0000
3.8152 -2.1993 0.0000
7.6304 0.0000 0.0000
```

***

VASP calculation (PBE) on a relaxed Pr6Al2SeI3 crystal.

## Properties
ΔE_f (raw)	-0.885	eV per atom
energy	-54.9	eV for the cell shown
size of the total moment	0.00	μB per cell
N(E_F)	6.57	states/eV/f.u.

POSCAR file:
```
Pr6Al2SeI3
1.0
3.8125 -6.5983 0.0000
3.8125 6.5983 0.0000
-2.5325 0.0000 7.7749
Pr Al Se I
6 2 1 3
Cartesian
0.0066 2.1966 6.1600
1.2675 0.0000 1.6145
0.0066 -2.1966 6.1600
5.0859 2.1966 1.6149
3.8250 0.0000 6.1604
5.0859 -2.1966 1.6149
3.8125 4.3959 0.0000
3.8125 -4.3959 0.0000
3.8125 0.0000 0.0000
-1.2663 0.0000 3.8875
2.5462 2.2190 3.8875
2.5462 -2.2190 3.8875
```

***

VASP calculation (PBE) on a relaxed Pr8AlSi3I4 crystal.

## Properties
ΔE_f (raw)	-0.852	eV per atom
energy	-78.1	eV for the cell shown
size of the total moment	0.00	μB per cell
N(E_F)	7.95	states/eV/f.u.

POSCAR file:
```
Pr8AlSi3I4
1.0
4.3918 2.5356 7.7446
-4.3918 2.5356 7.7446
0.0000 -5.0712 7.7446
Pr Al Si I
8 1 3 4
Cartesian
-2.2352 -1.2905 13.2006
0.0000 0.0000 5.4064
0.0000 -2.5809 10.0331
-2.2352 1.2905 10.0331
2.2352 -1.2905 13.2006
0.0000 2.5809 13.2006
0.0000 0.0000 17.8272
2.2352 1.2905 10.0331
0.0000 0.0000 11.6168
-4.3918 0.0000 11.6168
-2.1959 1.2678 3.8723
2.1959 1.2678 3.8723
0.0000 0.0000 0.0000
-2.1959 -1.2678 7.7446
-2.1959 1.2678 15.4891
0.0000 2.5356 7.7446
```